A plane-wave DFT calculation with PBE was carried out for Ho3ScZn2 after structural relaxation.

The space group is P4/mmm (No. 123) and the conventional cell measures 3.530, 3.530 and 11.709 Å, with angles of 90.00, 90.00 and 90.00 degrees. Symmetry generates all atoms from Ho at (0.000, 0.000, 0.000), Ho at (0.000, 0.000, 0.302), Sc at (0.500, 0.500, 0.500) and Zn at (0.500, 0.500, 0.152).

Its total energy is -3.979 eV/atom. For the offset from the most stable computed form, the calculation gives 0.023 eV/atom.